Record 1
First-principles (PBE) data for an optimized crystal structure of KHgTeOs2, as listed in the Alexandria database.

Summary:
formation energy (no corrections): 3010 meV per atom
D(E_F): 6.5 states/eV/cell
spin magnetization: 0.61 μB per cell

Structure (POSCAR):
```
KHgTeOs2
1.0
-2.146 -1.594 -4.022
-4.292 -1.278 2.797
-1.818 4.406 -0.776
K Te Os Hg
1 1 2 1
Cartesian
0.000 0.000 0.000
-4.128 0.767 -1.001
-0.909 2.203 -0.388
-1.073 -0.797 -2.011
-2.146 -0.639 1.398
```

Record 2
First-principles (PBE) data for an optimized crystal structure of TbPr2Hg6, as listed in the Alexandria database.

Summary:
D(E_F): 6.9 states/eV/cell
energy relative to the elements: -0.42 eV per atom
spin magnetization: 0.44 μB per cell

Structure (POSCAR):
```
TbPr2Hg6
1.0
-0.789 3.395 -0.188
-4.068 -1.368 -7.613
-4.442 -0.617 7.501
Tb Pr Hg
1 2 6
Cartesian
-4.442 -0.617 7.501
-4.317 -0.867 2.463
-4.982 2.278 -2.763
-3.208 1.042 -0.131
-6.091 0.369 -0.169
-3.368 1.285 4.927
-7.560 0.165 2.311
-1.740 1.245 -2.611
-1.863 1.494 2.386
```